The following is a SCAN calculation of a PBEsol-optimized structure of YAlRe, from Alexandria.

```
YAlRe
1.0
0.0000 3.2471 3.2471
3.2471 0.0000 3.2471
3.2471 3.2471 0.0000
Y Al Re
1 1 1
Direct
0.0000 0.0000 0.0000 Y
0.2500 0.2500 0.2500 Al
0.7500 0.7500 0.7500 Re
```

Symmetry: F-43m
Formation energy, meV per atom: 1352.4
Size of the total moment, μB per formula unit: 0.96

The following is a SCAN calculation of a PBEsol-optimized structure of CaTaPb2, from Alexandria.

```
CaTaPb2
1.0
5.7274 -1.5861 0.0000
5.7274 1.5861 0.0000
-0.3133 0.0000 5.2870
Ca Ta Pb
1 1 2
Direct
0.0000 0.0000 0.0000 Ca
0.7468 0.7468 0.3109 Ta
0.2534 0.2534 0.8195 Pb
0.4879 0.4879 0.4918 Pb
```

Symmetry: Cm
Formation energy, meV per atom: 236.1
Size of the total moment, μB per formula unit: 0.00

The following is a SCAN calculation of a PBEsol-optimized structure of NaVS2O8, from Alexandria.

```
NaVS2O8
1.0
4.0498 -2.5886 0.0000
4.0498 2.5886 0.0000
-0.0734 0.0000 7.0831
Na V S O
1 1 2 8
Direct
0.0000 0.0000 0.0000 Na
0.0000 0.0000 0.5000 V
0.3558 0.3558 0.7191 S
0.6442 0.6442 0.2809 S
0.2306 0.6992 0.7003 O
0.2380 0.2380 0.5574 O
0.2801 0.2801 0.9026 O
0.3008 0.7694 0.2997 O
0.6992 0.2306 0.7003 O
0.7199 0.7199 0.0974 O
0.7620 0.7620 0.4426 O
0.7694 0.3008 0.2997 O
```

Symmetry: C2/m
Size of the total moment, μB per formula unit: 2.00
Formation energy from raw total energies, eV per atom: -1.964

The following is a SCAN calculation of a PBEsol-optimized structure of Be2CuSe, from Alexandria.

```
Be2CuSe
1.0
1.9295 -3.6412 0.0000
1.9295 3.6412 0.0000
0.0000 0.0000 3.8319
Be Cu Se
2 1 1
Direct
0.1807 0.8193 0.0000 Be
0.8193 0.1807 0.0000 Be
0.5000 0.5000 0.0000 Cu
0.0000 0.0000 0.5000 Se
```

Symmetry: Cmmm
Size of the total moment, μB per formula unit: 0.00
Formation energy from raw total energies, eV per atom: 0.108

The following is a SCAN calculation of a PBEsol-optimized structure of AgSb2Br, from Alexandria.

```
AgSb2Br
1.0
6.2804 -2.0232 0.0000
6.2804 2.0232 0.0000
-0.0045 0.0000 4.2081
Ag Sb Br
1 2 1
Direct
0.0000 0.0000 0.0000 Ag
0.5064 0.5064 0.5000 Sb
0.8408 0.8408 0.4992 Sb
0.2115 0.2115 0.9994 Br
```

Symmetry: Cm
Size of the total moment, μB per formula unit: 0.00
ΔE to the lowest computed polymorph, meV per atom: 81
Formation energy from raw total energies, eV per atom: -0.060

The following is a SCAN calculation of a PBEsol-optimized structure of Sr2CeEuCu2RuO10, from Alexandria.

```
Sr2CeEuCu2RuO10
1.0
2.6876 -2.6876 0.0000
2.6876 2.6876 0.0000
-2.6861 0.0000 14.3615
Sr Ce Eu Cu Ru O
2 1 1 2 1 10
Direct
0.0000 0.0000 0.0000 Sr
0.1586 0.1586 0.3173 Sr
0.2871 0.2871 0.5727 Ce
0.8765 0.8765 0.7518 Eu
0.4368 0.4368 0.8732 Cu
0.7246 0.7246 0.4482 Cu
0.5800 0.5800 0.1614 Ru
0.0804 0.5802 0.1623 O
0.2315 0.7317 0.4621 O
0.3290 0.8290 0.6564 O
0.4320 0.9318 0.8630 O
0.5114 0.5114 0.0239 O
0.5802 0.0804 0.1623 O
0.6495 0.6495 0.3003 O
0.7317 0.2315 0.4621 O
0.8290 0.3290 0.6564 O
0.9318 0.4320 0.8630 O
```

Symmetry: Cm
Size of the total moment, μB per formula unit: 5.82
Formation energy from raw total energies, eV per atom: -2.291

The following is a SCAN calculation of a PBEsol-optimized structure of TiAl2Cl8, from Alexandria.

```
TiAl2Cl8
1.0
5.9087 0.0000 0.0000
0.0000 8.0788 0.0000
-0.9485 0.0000 12.7194
Ti Al Cl
2 4 16
Direct
0.0000 0.0000 0.0000 Ti
0.0000 0.5000 0.5000 Ti
0.3869 0.2454 0.9214 Al
0.3869 0.2546 0.4214 Al
0.6131 0.7454 0.5786 Al
0.6131 0.7546 0.0786 Al
0.2325 0.0282 0.8440 Cl
0.2325 0.4718 0.3440 Cl
0.2431 0.7298 0.5774 Cl
0.2431 0.7702 0.0774 Cl
0.2677 0.2153 0.0778 Cl
0.2677 0.2847 0.5778 Cl
0.2862 0.0299 0.3501 Cl
0.2862 0.4701 0.8501 Cl
0.7138 0.5299 0.1499 Cl
0.7138 0.9701 0.6499 Cl
0.7323 0.7153 0.4222 Cl
0.7323 0.7847 0.9222 Cl
0.7569 0.2298 0.9226 Cl
0.7569 0.2702 0.4226 Cl
0.7675 0.5282 0.6560 Cl
0.7675 0.9718 0.1560 Cl
```

Symmetry: P2_1/c
Size of the total moment, μB per formula unit: 2.00
Formation energy from raw total energies, eV per atom: -1.698

The following is a SCAN calculation of a PBEsol-optimized structure of Hg3As2O8, from Alexandria.

```
Hg3As2O8
1.0
10.0820 0.0000 0.0000
0.0000 11.8052 0.0000
-1.0876 0.0000 6.4682
Hg As O
12 8 32
Direct
0.0466 0.1201 0.1670 Hg
0.0466 0.3799 0.6670 Hg
0.2972 0.1084 0.6774 Hg
0.2972 0.3916 0.1774 Hg
0.3392 0.6673 0.5934 Hg
0.3392 0.8327 0.0934 Hg
0.6608 0.1673 0.9066 Hg
0.6608 0.3327 0.4066 Hg
0.7028 0.6084 0.8226 Hg
0.7028 0.8916 0.3226 Hg
0.9534 0.6201 0.3330 Hg
0.9534 0.8799 0.8330 Hg
0.0956 0.6317 0.9099 As
0.0956 0.8683 0.4099 As
0.3956 0.0976 0.2014 As
0.3956 0.4024 0.7014 As
0.6044 0.5976 0.2986 As
0.6044 0.9024 0.7986 As
0.9044 0.1317 0.5901 As
0.9044 0.3683 0.0901 As
0.0512 0.2071 0.5795 O
0.0512 0.2929 0.0795 O
0.0874 0.5579 0.6799 O
0.0874 0.9421 0.1799 O
0.1290 0.5509 0.1247 O
0.1290 0.9491 0.6247 O
0.2164 0.7304 0.8723 O
0.2164 0.7696 0.3723 O
0.2752 0.0813 0.9817 O
0.2752 0.4187 0.4817 O
0.2933 0.1507 0.3683 O
0.2933 0.3493 0.8683 O
0.4544 0.5373 0.7708 O
0.4544 0.9627 0.2708 O
0.4803 0.6902 0.3217 O
0.4803 0.8098 0.8217 O
0.5197 0.1902 0.1783 O
0.5197 0.3098 0.6783 O
0.5456 0.0373 0.7292 O
0.5456 0.4627 0.2292 O
0.7067 0.6507 0.1317 O
0.7067 0.8493 0.6317 O
0.7248 0.5813 0.5183 O
0.7248 0.9187 0.0183 O
0.7836 0.2304 0.6277 O
0.7836 0.2696 0.1277 O
0.8710 0.0509 0.3753 O
0.8710 0.4491 0.8753 O
0.9126 0.0579 0.8201 O
0.9126 0.4421 0.3201 O
0.9488 0.7071 0.9205 O
0.9488 0.7929 0.4205 O
```

Symmetry: P2_1/c
Size of the total moment, μB per formula unit: 0.00
Formation energy from raw total energies, eV per atom: -0.891

The following is a SCAN calculation of a PBEsol-optimized structure of La5TlTe8, from Alexandria.

```
La5TlTe8
1.0
-4.7987 4.7987 4.7765
4.7987 -4.7987 4.7765
4.7987 4.7987 -4.7765
La Tl Te
5 1 8
Direct
0.0000 0.0000 0.0000 La
0.2498 0.6279 0.1184 La
0.3721 0.4904 0.6218 La
0.5096 0.1314 0.8816 La
0.8686 0.7502 0.3782 La
0.7500 0.2500 0.5000 Tl
0.1296 0.2174 0.7555 Te
0.1346 0.7325 0.7538 Te
0.2675 0.0213 0.4021 Te
0.4618 0.3741 0.2445 Te
0.6192 0.8654 0.5979 Te
0.6259 0.8704 0.0878 Te
0.7826 0.5382 0.9122 Te
0.9787 0.3808 0.2462 Te
```

Symmetry: I-4
Size of the total moment, μB per formula unit: 0.00
Formation energy from raw total energies, eV per atom: -1.641

The following is a SCAN calculation of a PBEsol-optimized structure of YPBr2, from Alexandria.

```
YPBr2
1.0
7.2222 -1.8756 0.0000
7.2222 1.8756 0.0000
-0.2155 0.0000 4.1721
Y P Br
1 1 2
Direct
0.0000 0.0000 0.0000 Y
0.5000 0.5000 0.5000 P
0.3474 0.3474 0.7891 Br
0.6526 0.6526 0.2109 Br
```

Symmetry: C2/m
Size of the total moment, μB per formula unit: 0.00
ΔE to the lowest computed polymorph, meV per atom: 0
Formation energy from raw total energies, eV per atom: -1.274

The following is a SCAN calculation of a PBEsol-optimized structure of LiInSb, from Alexandria.

```
LiInSb
1.0
-1.6321 1.6321 6.3755
1.6321 -1.6321 6.3755
1.6321 1.6321 -6.3755
Li In Sb
1 1 1
Direct
0.0000 0.0000 0.0000 Li
0.3359 0.3359 0.0000 In
0.6465 0.6465 0.0000 Sb
```

Symmetry: I4mm
Size of the total moment, μB per formula unit: 0.00
ΔE to the lowest computed polymorph, meV per atom: 16
Formation energy from raw total energies, eV per atom: -0.172

The following is a SCAN calculation of a PBEsol-optimized structure of MgZnNi2, from Alexandria.

```
MgZnNi2
1.0
-1.4159 2.0661 4.2706
1.4159 -2.0661 4.2706
1.4159 2.0661 -4.2706
Mg Zn Ni
1 1 2
Direct
0.0000 0.0000 0.0000 Mg
0.7276 0.2276 0.5000 Zn
0.2580 0.7580 0.5000 Ni
0.4914 0.4914 0.0000 Ni
```

Symmetry: Imm2
Formation energy, meV per atom: -115.2
Size of the total moment, μB per formula unit: 0.00

The following is a SCAN calculation of a PBEsol-optimized structure of ScCd2Ge2, from Alexandria.

```
ScCd2Ge2
1.0
-1.8383 1.8383 7.8582
1.8383 -1.8383 7.8582
1.8383 1.8383 -7.8582
Sc Cd Ge
1 2 2
Direct
0.0000 0.0000 0.0000 Sc
0.3990 0.3990 0.0000 Cd
0.6010 0.6010 0.0000 Cd
0.2500 0.7500 0.5000 Ge
0.7500 0.2500 0.5000 Ge
```

Symmetry: I4/mmm
Formation energy, meV per atom: 78.0
Size of the total moment, μB per formula unit: 0.33

The following is a SCAN calculation of a PBEsol-optimized structure of BaCrTc2, from Alexandria.

```
BaCrTc2
1.0
2.6419 -4.8842 0.0000
2.6419 4.8842 0.0000
0.0000 0.0000 2.8726
Ba Cr Tc
1 1 2
Direct
0.0000 0.0000 0.0000 Ba
0.5000 0.5000 0.0000 Cr
0.0000 0.5000 0.5000 Tc
0.5000 0.0000 0.5000 Tc
```

Symmetry: Cmmm
Formation energy, meV per atom: 1404.4
Size of the total moment, μB per formula unit: 2.48
ΔE to the lowest computed polymorph, meV per atom: 91

The following is a SCAN calculation of a PBEsol-optimized structure of MgGa2, from Alexandria.

```
MgGa2
1.0
2.7625 -4.7612 0.0000
2.7625 4.7612 0.0000
0.0000 0.0000 8.4563
Mg Ga
4 8
Direct
0.1665 0.8335 0.5657 Mg
0.1665 0.8335 0.9343 Mg
0.8335 0.1665 0.0657 Mg
0.8335 0.1665 0.4343 Mg
0.1518 0.3266 0.7500 Ga
0.3266 0.1518 0.2500 Ga
0.3272 0.6728 0.2500 Ga
0.5000 0.5000 0.0000 Ga
0.5000 0.5000 0.5000 Ga
0.6728 0.3272 0.7500 Ga
0.6734 0.8482 0.7500 Ga
0.8482 0.6734 0.2500 Ga
```

Symmetry: Cmcm
Formation energy, meV per atom: -114.3
Size of the total moment, μB per formula unit: 0.00

The following is a SCAN calculation of a PBEsol-optimized structure of In2Ga2Au, from Alexandria.

```
In2Ga2Au
1.0
-2.1189 2.1189 6.0902
2.1189 -2.1189 6.0902
2.1189 2.1189 -6.0902
In Ga Au
2 2 1
Direct
0.2500 0.7500 0.5000 In
0.7500 0.2500 0.5000 In
0.0970 0.0970 0.0000 Ga
0.9030 0.9030 0.0000 Ga
0.5000 0.5000 0.0000 Au
```

Symmetry: I4/mmm
Formation energy, meV per atom: 242.8
Size of the total moment, μB per formula unit: 0.00
ΔE to the lowest computed polymorph, meV per atom: 294

The following is a SCAN calculation of a PBEsol-optimized structure of HfMn, from Alexandria.

```
HfMn
1.0
0.0000 5.7130 5.7130
5.7130 0.0000 5.7130
5.7130 5.7130 0.0000
Hf Mn
12 12
Direct
0.0732 0.0732 0.6768 Hf
0.0732 0.6768 0.0732 Hf
0.0732 0.6768 0.6768 Hf
0.3232 0.3232 0.9268 Hf
0.3232 0.9268 0.3232 Hf
0.3232 0.9268 0.9268 Hf
0.6768 0.0732 0.0732 Hf
0.6768 0.0732 0.6768 Hf
0.6768 0.6768 0.0732 Hf
0.9268 0.3232 0.3232 Hf
0.9268 0.3232 0.9268 Hf
0.9268 0.9268 0.3232 Hf
0.0000 0.5000 0.5000 Mn
0.2997 0.2997 0.2997 Mn
0.2997 0.2997 0.6010 Mn
0.2997 0.6010 0.2997 Mn
0.3990 0.7003 0.7003 Mn
0.5000 0.0000 0.5000 Mn
0.5000 0.5000 0.0000 Mn
0.5000 0.5000 0.5000 Mn
0.6010 0.2997 0.2997 Mn
0.7003 0.3990 0.7003 Mn
0.7003 0.7003 0.3990 Mn
0.7003 0.7003 0.7003 Mn
```

Symmetry: Fd-3m
Formation energy, meV per atom: -119.5
Size of the total moment, μB per formula unit: 0.00

The following is a SCAN calculation of a PBEsol-optimized structure of Nd3S3N, from Alexandria.

```
Nd3S3N
1.0
11.9816 0.0000 0.0000
0.0000 4.0096 0.0000
0.0000 0.0000 12.8731
Nd S N
12 12 4
Direct
0.0372 0.2500 0.1500 Nd
0.0897 0.2500 0.6255 Nd
0.2273 0.2500 0.8683 Nd
0.2727 0.7500 0.3683 Nd
0.4103 0.7500 0.1255 Nd
0.4628 0.7500 0.6500 Nd
0.5372 0.2500 0.3500 Nd
0.5897 0.2500 0.8745 Nd
0.7273 0.2500 0.6317 Nd
0.7727 0.7500 0.1317 Nd
0.9103 0.7500 0.3745 Nd
0.9628 0.7500 0.8500 Nd
0.0775 0.2500 0.3916 S
0.1434 0.7500 0.0001 S
0.2334 0.7500 0.7011 S
0.2666 0.2500 0.2011 S
0.3566 0.2500 0.5001 S
0.4225 0.7500 0.8916 S
0.5775 0.2500 0.1084 S
0.6434 0.7500 0.4999 S
0.7334 0.7500 0.7989 S
0.7666 0.2500 0.2989 S
0.8566 0.2500 0.9999 S
0.9225 0.7500 0.6084 S
0.0501 0.2500 0.7984 N
0.4499 0.7500 0.2984 N
0.5501 0.2500 0.7016 N
0.9499 0.7500 0.2016 N
```

Symmetry: Pnma
Size of the total moment, μB per formula unit: 0.00
Formation energy from raw total energies, eV per atom: -2.224

The following is a SCAN calculation of a PBEsol-optimized structure of BiS2IN, from Alexandria.

```
BiS2IN
1.0
5.2640 0.0000 0.0000
0.0000 5.2640 0.0000
0.0000 0.0000 4.2454
Bi S I N
1 2 1 1
Direct
0.0000 0.0000 0.0000 Bi
0.0000 0.5000 0.0000 S
0.5000 0.0000 0.0000 S
0.5000 0.5000 0.5000 I
0.0000 0.0000 0.5000 N
```

Symmetry: P4/mmm
Size of the total moment, μB per formula unit: 1.83
Formation energy from raw total energies, eV per atom: 1.270

The following is a SCAN calculation of a PBEsol-optimized structure of CdSbBr2, from Alexandria.

```
CdSbBr2
1.0
3.3267 -4.3606 0.0000
3.3267 4.3606 0.0000
0.0000 0.0000 3.4465
Cd Sb Br
1 1 2
Direct
0.0000 0.0000 0.0000 Cd
0.5000 0.5000 0.0000 Sb
0.0000 0.5000 0.5000 Br
0.5000 0.0000 0.5000 Br
```

Symmetry: Cmmm
Size of the total moment, μB per formula unit: 0.00
ΔE to the lowest computed polymorph, meV per atom: 301
Formation energy from raw total energies, eV per atom: 0.062

Looking at total DFT energy (no corrections) for the records above, in order, we have -34.212, -56.716, -9.531, -10.889, -31.397, -18.195, -10.367, -23.563, -43.490, -20.564, -24.517, -12.824, -22.570, -30.609, -12.670, -33.482, -40.584, -26.356, -27.504, -26.586 eV per atom.